# SrCu6Sn6 PBE-GGA relaxed
# DFT formation energy (eV/atom): -0.065
# Crystal system: orthorhombic
data_SrCu6Sn6
_chemical_formula_sum 'Sr2 Cu12 Sn12'
_symmetry_space_group_name_H-M 'I m m m'
_symmetry_Int_Tables_number 71
_symmetry_space_group_name_Hall '-I 2 2'
_cell_length_a 5.655
_cell_length_b 9.189
_cell_length_c 9.750
_cell_angle_alpha 90.00
_cell_angle_beta 90.00
_cell_angle_gamma 90.00
loop_
_atom_site_label
_atom_site_fract_x
_atom_site_fract_y
_atom_site_fract_z
Sr1 0.000 0.000 0.000
Cu1 0.000 0.255 0.500
Cu2 0.250 0.250 0.250
Sn1 0.000 0.000 0.340
Sn2 0.000 0.341 0.000
Sn3 0.000 0.500 0.327

***

# SrCuSn2 PBE-GGA relaxed
# DFT formation energy (eV/atom): 0.061
# Crystal system: trigonal
data_SrCuSn2
_chemical_formula_sum 'Sr3 Cu3 Sn6'
_symmetry_space_group_name_H-M 'R -3 m'
_symmetry_Int_Tables_number 166
_symmetry_space_group_name_Hall '-R 3 2"'
_cell_length_a 4.3343
_cell_length_b 4.3343
_cell_length_c 26.1790
_cell_angle_alpha 90.00
_cell_angle_beta 90.00
_cell_angle_gamma 120.00
loop_
_atom_site_label
_atom_site_fract_x
_atom_site_fract_y
_atom_site_fract_z
Sr1 0.0000 0.0000 0.0000
Cu1 0.0000 0.0000 0.5000
Sn1 0.0000 0.0000 0.1293

***

# Sr3Cu2Sn4 PBE-GGA relaxed
# DFT formation energy (eV/atom): -0.471
# Crystal system: monoclinic
data_Sr3Cu2Sn4
_chemical_formula_sum 'Sr6 Cu4 Sn8'
_symmetry_space_group_name_H-M 'C 1 2/m 1'
_symmetry_Int_Tables_number 12
_cell_length_a 12.444
_cell_length_b 4.613
_cell_length_c 9.318
_cell_angle_alpha 90.00
_cell_angle_beta 98.54
_cell_angle_gamma 90.00
loop_
_symmetry_equiv_pos_as_xyz
'x,y,z'
'-x,-y,-z'
'-x,y,-z'
'x,-y,z'
'x+1/2,y+1/2,z'
'-x+1/2,-y+1/2,-z'
'-x+1/2,y+1/2,-z'
'x+1/2,-y+1/2,z'
loop_
_atom_site_label
_atom_site_fract_x
_atom_site_fract_y
_atom_site_fract_z
Sr1 0.000 0.000 0.000
Sr2 0.161 0.500 0.659
Cu1 0.104 0.500 0.284
Sn1 0.061 0.000 0.379
Sn2 0.220 0.500 0.078

***

# Sr2CuSn PBE-GGA relaxed
# DFT formation energy (eV/atom): -0.010
# Crystal system: tetragonal
data_Sr2CuSn
_chemical_formula_sum 'Sr8 Cu4 Sn4'
_symmetry_space_group_name_H-M 'I -4 2 d'
_symmetry_Int_Tables_number 122
_symmetry_space_group_name_Hall 'I -4 2bw'
_cell_length_a 8.656
_cell_length_b 8.656
_cell_length_c 7.076
_cell_angle_alpha 90.00
_cell_angle_beta 90.00
_cell_angle_gamma 90.00
loop_
_atom_site_label
_atom_site_fract_x
_atom_site_fract_y
_atom_site_fract_z
Sr1 0.216 0.750 0.125
Cu1 0.000 0.000 0.000
Sn1 0.000 0.000 0.500